(1)
This record from the Alexandria database describes an optimized crystal structure of MgGa. The functional is PBE-GGA.

Properties
For the energy of formation, the calculation gives -0.131 eV per atom. The value obtained for the final energy is -2.442 eV per atom.

Cell lengths 3.387, 3.387, 3.387 Å; angles 90.00, 90.00, 90.00 degrees
Positions (direct):
Mg 0.000 0.000 0.000
Ga 0.500 0.500 0.500



(2)
This record from the Alexandria database describes an optimized crystal structure of DyLu3Co. The functional is PBE-GGA.

Properties
For the energy of formation, the calculation gives -0.058 eV per atom. The value obtained for the final energy is -5.112 eV per atom.

Cell lengths 5.159, 5.159, 5.159 Å; angles 90.00, 90.00, 90.00 degrees
Positions (direct):
Lu 0.000 0.500 0.000
Lu 0.000 0.000 0.500
Lu 0.500 0.000 0.000
Co 0.000 0.000 0.000
Dy 0.500 0.500 0.500



(3)
This record from the Alexandria database describes an optimized crystal structure of HoLuAgPt. The functional is PBE-GGA.

Properties
For the energy of formation, the calculation gives -0.822 eV per atom. The value obtained for the final energy is -5.319 eV per atom.

Cell lengths 4.960, 4.960, 4.960 Å; angles 60.00, 60.00, 60.00 degrees
Positions (direct):
Pt 0.750 0.750 0.750
Ho 0.000 0.000 0.000
Lu 0.500 0.500 0.500
Ag 0.250 0.250 0.250



(4)
This record from the Alexandria database describes an optimized crystal structure of GdGe4Bi. The functional is PBE-GGA.

Properties
For the energy of formation, the calculation gives -0.132 eV per atom. The value obtained for the final energy is -6.203 eV per atom.

Cell lengths 5.716, 5.716, 5.716 Å; angles 60.00, 60.00, 60.00 degrees
Site moments in Bohr magnetons follow the coordinates.
Positions (direct):
Bi 0.250 0.250 0.250  0.01
Ge 0.626 0.123 0.626  -0.01
Ge 0.123 0.626 0.626  -0.01
Ge 0.626 0.626 0.626  -0.01
Ge 0.626 0.626 0.123  -0.01
Gd 0.000 0.000 0.000  6.99



(5)
This record from the Alexandria database describes an optimized crystal structure of Ca2Ga4SiPt3. The functional is PBE-GGA.

Properties
The value obtained for the final energy is -4.707 eV per atom. For the formation energy (no corrections), the calculation gives -741 meV per atom.

Cell lengths 4.204, 4.204, 10.832 Å; angles 90.00, 90.00, 90.00 degrees
Positions (direct):
Ga 0.500 0.000 0.636
Ga 0.500 0.500 0.000
Ga 0.000 0.500 0.364
Ga 0.000 0.000 0.000
Pt 0.000 0.000 0.500
Pt 0.000 0.500 0.134
Pt 0.500 0.000 0.866
Ca 0.000 0.500 0.747
Ca 0.500 0.000 0.253
Si 0.500 0.500 0.500



(6)
This record from the Alexandria database describes an optimized crystal structure of RbSiHgSe3. The functional is PBE-GGA.

Properties
The value obtained for the final energy is -3.458 eV per atom. For the formation energy (no corrections), the calculation gives -600 meV per atom.

Cell lengths 7.511, 7.511, 8.154 Å; angles 75.20, 75.20, 62.22 degrees
Positions (direct):
Rb 0.326 0.326 0.221
Rb 0.674 0.674 0.779
Se 0.657 0.151 0.822
Se 0.837 0.837 0.346
Se 0.849 0.343 0.178
Se 0.151 0.657 0.822
Se 0.163 0.163 0.654
Se 0.343 0.849 0.178
Si 0.000 0.000 0.854
Si 0.000 0.000 0.146
Hg 0.768 0.232 0.500
Hg 0.232 0.768 0.500



(7)
This record from the Alexandria database describes an optimized crystal structure of Sc2TaBr2. The functional is PBE-GGA.

Properties
Its energy above the most stable polymorph in this dataset is 0.83 eV/f.u. The value obtained for the final energy is -5.481 eV per atom. For the formation energy (no corrections), the calculation gives 91 meV per atom.

Cell lengths 5.298, 5.298, 5.496 Å; angles 61.18, 61.18, 90.00 degrees
Positions (direct):
Br 0.319 0.319 0.362
Br 0.681 0.681 0.638
Sc 0.250 0.750 0.500
Sc 0.750 0.250 0.500
Ta 0.000 0.000 0.000



(8)
This record from the Alexandria database describes an optimized crystal structure of Sr2HfV. The functional is PBE-GGA.

Properties
Its energy above the most stable polymorph in this dataset is 0.00 eV/f.u. For the energy of formation, the calculation gives 1.036 eV per atom. The value obtained for the final energy is -4.573 eV per atom.

Cell lengths 5.602, 5.602, 5.602 Å; angles 60.00, 60.00, 60.00 degrees
Site moments in Bohr magnetons follow the coordinates.
Positions (direct):
Sr 0.250 0.250 0.250  0.05
Sr 0.750 0.750 0.750  0.05
Hf 0.500 0.500 0.500  -0.29
V 0.000 0.000 0.000  2.83



Computed magnetic moment (μB per formula unit) in order:
0.00; 0.01; 0.00; 7.01; 0.00; 0.00; 0.00; 3.51